Record 1
Crystalline RbTeSI2 at its relaxed geometry, computed with PBE.

Lattice parameters (Å, degrees): 6.3263 6.3263 5.0679 90.00 90.00 90.00
Closest atoms and distances in Å follow each position.
Fractional coordinates of all 5 atoms:
Rb: 0.0000 0.0000 0.0000  8 I 4.05, 4 S 4.47
Te: 0.5000 0.5000 0.5000  2 S 2.53
S: 0.5000 0.5000 0.0000  2 Te 2.53
I: 0.0000 0.5000 0.5000  2 Te 3.16
I: 0.5000 0.0000 0.5000  2 Te 3.16

formation energy (no corrections): -491 meV/atom
calculated volume: 40.566 A^3/atom

***

Record 2
Crystalline Sr3HgPt at its relaxed geometry, computed with PBE.

Lattice parameters (Å, degrees): 9.4810 9.4810 4.4177 90.00 90.00 109.99
Closest atoms and distances in Å follow each position.
Fractional coordinates of all 10 atoms:
Sr: 0.1697 0.8303 0.0000  2 Pt 2.99
Sr: 0.1844 0.4365 0.5000  2 Pt 3.00
Sr: 0.4365 0.1844 0.5000  2 Pt 3.00
Sr: 0.5635 0.8156 0.5000  2 Pt 3.00
Sr: 0.8156 0.5635 0.5000  2 Pt 3.00
Sr: 0.8303 0.1697 0.0000  2 Pt 2.99
Hg: 0.0000 0.0000 0.5000  4 Sr 3.44
Hg: 0.5000 0.5000 0.0000  8 Sr 3.60
Pt: 0.0000 0.5000 0.0000  6 Sr 2.99-3.00
Pt: 0.5000 0.0000 0.0000  6 Sr 2.99-3.00

calculated volume: 37.317 A^3/atom
formation energy: -565 meV per atom

***

Record 3
Crystalline MgIrF at its relaxed geometry, computed with PBE.

Lattice parameters (Å, degrees): 4.1642 5.7031 8.7448 90.00 90.00 90.00
Closest atoms and distances in Å follow each position.
Fractional coordinates of all 12 atoms:
Mg: 0.0019 0.2500 0.1221  3 F 2.02-2.09
Mg: 0.4981 0.7500 0.6221  3 F 2.02-2.09
Mg: 0.5019 0.2500 0.3779  3 F 2.02-2.09
Mg: 0.9981 0.7500 0.8779  3 F 2.02-2.09
Ir: 0.0013 0.7500 0.1930  2 Ir 2.31
Ir: 0.4987 0.2500 0.6930  2 Ir 2.31
Ir: 0.5013 0.7500 0.3070  2 Ir 2.31
Ir: 0.9987 0.2500 0.8070  2 Ir 2.31
F: 0.0015 0.2500 0.3535  3 Mg 2.02-2.09
F: 0.4985 0.7500 0.8535  3 Mg 2.02-2.09
F: 0.5015 0.2500 0.1465  3 Mg 2.02-2.09
F: 0.9985 0.7500 0.6465  3 Mg 2.02-2.09

formation energy (no corrections): -1128 meV/atom
calculated volume: 17.307 A^3/atom

***

Record 4
Crystalline Hf4TcPd3 at its relaxed geometry, computed with PBE.

Lattice parameters (Å, degrees): 3.3113 3.3113 13.2258 90.00 90.00 90.00
Closest atoms and distances in Å follow each position.
Fractional coordinates of all 8 atoms:
Hf: 0.0000 0.0000 0.1185  4 Tc 2.82, 4 Pd 2.89, 1 Hf 3.13
Hf: 0.0000 0.0000 0.3741  8 Pd 2.87-2.88
Hf: 0.0000 0.0000 0.6259  8 Pd 2.87-2.88
Hf: 0.0000 0.0000 0.8815  4 Tc 2.82, 4 Pd 2.89, 1 Hf 3.13
Tc: 0.5000 0.5000 0.0000  8 Hf 2.82
Pd: 0.5000 0.5000 0.2468  8 Hf 2.88-2.89
Pd: 0.5000 0.5000 0.5000  8 Hf 2.87
Pd: 0.5000 0.5000 0.7532  8 Hf 2.88-2.89

calculated volume: 18.127 A^3/atom
formation energy: -637 meV per atom

***

Record 5
Crystalline Na10B17C3 at its relaxed geometry, computed with PBE.

Lattice parameters (Å, degrees): 11.8820 11.8820 10.2140 105.61 105.61 13.65
Closest atoms and distances in Å follow each position.
Fractional coordinates of all 30 atoms:
Na: 0.0000 0.0000 0.0000  10 B 2.68-3.00, 2 C 2.77, 2 Na 2.83
Na: 0.0992 0.0992 0.6988  12 B 2.71-2.98, 4 Na 2.83-3.02
Na: 0.2005 0.2005 0.4016  11 B 2.68-2.92, 2 Na 2.83, 1 C 2.89
Na: 0.3010 0.3010 0.1045  11 B 2.68-2.91, 2 Na 2.83, 1 C 2.87
Na: 0.3995 0.3995 0.8021  10 B 2.68-2.95, 2 C 2.79, 2 Na 2.83
Na: 0.4996 0.4996 0.4987  9 B 2.67-2.80, 3 C 2.76-2.77, 4 Na 2.83-2.99
Na: 0.6007 0.6007 0.2018  11 B 2.70-2.93, 4 Na 2.83-3.02, 1 C 2.84
Na: 0.7006 0.7006 0.9026  12 B 2.72-2.94, 4 Na 2.83-3.03
Na: 0.8003 0.8003 0.6014  9 B 2.68-2.91, 3 C 2.70-2.76, 2 Na 2.83
Na: 0.9000 0.9000 0.3035  7 B 2.66-2.80, 5 C 2.68-2.73, 2 Na 2.83
B: 0.0120 0.0120 0.2771  2 C 1.62, 1 B 1.74
B: 0.0776 0.0776 0.4066  3 B 1.74
B: 0.1202 0.1202 0.9922  3 B 1.70-1.83
B: 0.1839 0.1839 0.1192  3 B 1.70-1.78
B: 0.2197 0.2197 0.6890  3 B 1.66-1.77
B: 0.2819 0.2819 0.8134  3 B 1.66-1.79
B: 0.3831 0.3831 0.5164  3 C 1.63-1.64
B: 0.4238 0.4238 0.1011  1 C 1.57
B: 0.5140 0.5140 0.7794  3 B 1.68-1.79
B: 0.5769 0.5769 0.9052  3 B 1.68-1.83
B: 0.6160 0.6160 0.4826  3 B 1.69-1.74
B: 0.6794 0.6794 0.6087  3 B 1.69-1.77
B: 0.7246 0.7246 0.2005  3 B 1.78-1.79
B: 0.7916 0.7916 0.3341  2 C 1.63, 1 B 1.79
B: 0.8225 0.8225 0.8963  3 B 1.67-1.79
B: 0.8847 0.8847 0.0221  3 B 1.67-1.76
B: 0.9728 0.9728 0.6959  1 C 1.57
C: 0.3220 0.3220 0.3946  3 B 1.63
C: 0.4824 0.4824 0.2189  3 B 1.57-1.62
C: 0.9141 0.9141 0.5777  3 B 1.57-1.64

calculated volume: 10.923 A^3/atom
formation energy: 208 meV per atom

***

Record 6
Crystalline Y4HoEr5 at its relaxed geometry, computed with PBE.

Lattice parameters (Å, degrees): 3.5434 6.7310 13.8490 97.41 90.15 104.90
Closest atoms and distances in Å follow each position.
Fractional coordinates of all 10 atoms:
Y: 0.1247 0.2039 0.3069  1 Ho 3.23, 4 Y 3.43-3.54, 4 Er 3.43-3.56
Y: 0.1764 0.3264 0.7126  1 Ho 3.42, 5 Y 3.43-3.63, 5 Er 3.50-3.80
Y: 0.8236 0.6736 0.2874  1 Ho 3.42, 5 Y 3.43-3.63, 5 Er 3.50-3.80
Y: 0.8753 0.7961 0.6931  1 Ho 3.23, 4 Y 3.43-3.54, 4 Er 3.43-3.56
Ho: 0.0000 0.5000 0.5000  4 Y 3.23-3.42, 2 Er 3.38, 2 Ho 3.54
Er: 0.1861 0.3749 0.0833  3 Y 3.43-3.68, 9 Er 3.47-3.59
Er: 0.4640 0.9188 0.1134  8 Er 3.45-3.59, 4 Y 3.49-3.58
Er: 0.5000 0.0000 0.5000  2 Ho 3.38, 2 Er 3.54, 4 Y 3.56-3.65
Er: 0.5360 0.0812 0.8866  8 Er 3.45-3.59, 4 Y 3.49-3.58
Er: 0.8139 0.6251 0.9167  3 Y 3.43-3.68, 9 Er 3.47-3.59

calculated volume: 31.631 A^3/atom
formation energy: 58 meV per atom

***

Record 7
Crystalline LiTb3Y3S8 at its relaxed geometry, computed with PBE.

Lattice parameters (Å, degrees): 7.7936 7.7936 7.7936 59.98 59.98 59.98
Closest atoms and distances in Å follow each position.
Fractional coordinates of all 15 atoms:
Li: 0.0000 0.0000 0.0000  6 S 2.70
Tb: 0.0000 0.0000 0.5000  6 S 2.76
Tb: 0.0000 0.5000 0.0000  6 S 2.76
Tb: 0.5000 0.0000 0.0000  6 S 2.76
Y: 0.0000 0.5000 0.5000  6 S 2.75
Y: 0.5000 0.0000 0.5000  6 S 2.75
Y: 0.5000 0.5000 0.0000  6 S 2.75
S: 0.2450 0.2450 0.7544  1 Li 2.70, 2 Y 2.75, 2 Tb 2.76
S: 0.2450 0.7544 0.2450  1 Li 2.70, 2 Y 2.75, 2 Tb 2.76
S: 0.2456 0.7550 0.7550  1 Li 2.70, 2 Y 2.75, 2 Tb 2.76
S: 0.2503 0.2503 0.2503  3 Y 2.75, 3 Tb 2.76
S: 0.7497 0.7497 0.7497  3 Y 2.75, 3 Tb 2.76
S: 0.7544 0.2450 0.2450  1 Li 2.70, 2 Y 2.75, 2 Tb 2.76
S: 0.7550 0.2456 0.7550  1 Li 2.70, 2 Y 2.75, 2 Tb 2.76
S: 0.7550 0.7550 0.2456  1 Li 2.70, 2 Y 2.75, 2 Tb 2.76

formation energy (no corrections): -2006 meV/atom
calculated volume: 22.307 A^3/atom

***

Record 8
Crystalline TbThCuSn at its relaxed geometry, computed with PBE.

Lattice parameters (Å, degrees): 5.2402 5.2402 5.2402 60.00 60.00 60.00
Closest atoms and distances in Å follow each position.
Fractional coordinates of all 4 atoms:
Tb: 0.0000 0.0000 0.0000  4 Cu 3.21, 4 Sn 3.21
Th: 0.5000 0.5000 0.5000  4 Sn 3.21, 4 Cu 3.21
Cu: 0.7500 0.7500 0.7500  4 Tb 3.21, 4 Th 3.21
Sn: 0.2500 0.2500 0.2500  4 Tb 3.21, 4 Th 3.21

calculated volume: 25.437 A^3/atom
formation energy: -300 meV per atom

***

Number 1: uncorrected energy -2.76 eV/atom, magnetic moment 0.00 μB per cell. Number 2: uncorrected energy -2.84 eV/atom, magnetic moment 0.00 μB per cell. Number 3: uncorrected energy -5.24 eV/atom, magnetic moment 0.00 μB per cell. Number 4: uncorrected energy -8.86 eV/atom, magnetic moment 0.00 μB per cell. Number 5: uncorrected energy -4.94 eV/atom, magnetic moment 0.00 μB per cell. Number 6: uncorrected energy -5.27 eV/atom, magnetic moment 0.01 μB per cell. Number 7: uncorrected energy -6.55 eV/atom, magnetic moment 0.00 μB per cell. Number 8: uncorrected energy -5.34 eV/atom, magnetic moment 0.00 μB per cell.